# 1
This record from the Alexandria database describes crystalline Tl5Hg at its relaxed geometry. The functional is GGA-PBE.

Cell lengths 3.5420, 3.5420, 14.3077 Å; angles 90.00, 90.00, 90.00 degrees
Closest atoms and distances in Å follow each position.
Sites, in units of the cell vectors:
Tl  0.0000  0.0000  0.0000  12 Tl 3.52-3.54
Tl  0.0000  0.0000  0.3452  4 Hg 3.34, 8 Tl 3.51-3.54
Tl  0.0000  0.0000  0.6548  4 Hg 3.34, 8 Tl 3.51-3.54
Tl  0.5000  0.5000  0.1732  12 Tl 3.51-3.54
Tl  0.5000  0.5000  0.8268  12 Tl 3.51-3.54
Hg  0.5000  0.5000  0.5000  8 Tl 3.34, 4 Hg 3.54

Values from the calculation:
Energy relative to the lowest polymorph listed for this composition   0.008 eV per atom
Energy relative to the elements   0.011 eV/atom
SG   P4/mmm, No. 123

# 2
This record from the Alexandria database describes crystalline K2Tl7In2 at its relaxed geometry. The functional is GGA-PBE.

Cell lengths 8.2471, 8.2471, 6.5014 Å; angles 112.86, 112.86, 83.40 degrees
Closest atoms and distances in Å follow each position.
Sites, in units of the cell vectors:
K  0.1918  0.8082  0.0000  10 Tl 3.55-3.91
K  0.8082  0.1918  0.0000  10 Tl 3.55-3.91
Tl  0.0000  0.0000  0.5000  4 Tl 3.24, 2 In 3.42
Tl  0.0783  0.5844  0.3318  3 Tl 3.24-3.55, 2 In 3.29-3.36, 1 K 3.55
Tl  0.3886  0.3886  0.1335  3 In 3.28-3.53, 2 Tl 3.29
Tl  0.4156  0.9217  0.6682  3 Tl 3.24-3.55, 2 In 3.29-3.36, 1 K 3.55
Tl  0.5844  0.0783  0.3318  3 Tl 3.24-3.55, 2 In 3.29-3.36, 1 K 3.55
Tl  0.6114  0.6114  0.8665  3 In 3.28-3.53, 2 Tl 3.29
Tl  0.9217  0.4156  0.6682  3 Tl 3.24-3.55, 2 In 3.29-3.36, 1 K 3.55
In  0.2929  0.2929  0.5592  8 Tl 3.28-3.53
In  0.7071  0.7071  0.4408  8 Tl 3.28-3.53

Values from the calculation:
Energy relative to the elements   -0.034 eV/atom
SG   C2/m, No. 12

# 3
This record from the Alexandria database describes crystalline Pm6NdCd2 at its relaxed geometry. The functional is GGA-PBE.

Cell lengths 5.1113, 5.1113, 11.4656 Å; angles 90.00, 90.00, 90.00 degrees
Closest atoms and distances in Å follow each position.
Sites, in units of the cell vectors:
Pm  0.0000  0.0000  0.0000  12 Pm 3.61-3.65
Pm  0.0000  0.5000  0.2270  2 Cd 3.13
Pm  0.0000  0.5000  0.7730  2 Cd 3.13
Pm  0.5000  0.0000  0.2270  2 Cd 3.13
Pm  0.5000  0.0000  0.7730  2 Cd 3.13
Pm  0.5000  0.5000  0.0000  12 Pm 3.61-3.65
Nd  0.0000  0.0000  0.5000  8 Cd 3.85, 8 Pm 4.04
Cd  0.5000  0.5000  0.3851  1 Cd 2.63
Cd  0.5000  0.5000  0.6149  1 Cd 2.63

Values from the calculation:
Energy relative to the lowest polymorph listed for this composition   0.139 eV per atom
Energy relative to the elements   0.006 eV/atom
SG   P4/mmm, No. 123

# 4
This record from the Alexandria database describes crystalline AlCd3Tc at its relaxed geometry. The functional is GGA-PBE.

Cell lengths 5.2626, 5.2626, 5.2626 Å; angles 90.00, 90.00, 90.00 degrees
Closest atoms and distances in Å follow each position.
Sites, in units of the cell vectors:
Al  0.0000  0.0000  0.0000  12 Cd 3.72
Cd  0.0000  0.5000  0.5000  2 Tc 2.63
Cd  0.5000  0.0000  0.5000  2 Tc 2.63
Cd  0.5000  0.5000  0.0000  2 Tc 2.63
Tc  0.5000  0.5000  0.5000  6 Cd 2.63

Values from the calculation:
Energy relative to the lowest polymorph listed for this composition   0.000 eV per atom
Energy relative to the elements   0.965 eV/atom
SG   Pm-3m, No. 221

# 5
This record from the Alexandria database describes crystalline HfAgH8Ir2 at its relaxed geometry. The functional is GGA-PBE.

Cell lengths 4.7761, 4.7761, 5.8577 Å; angles 104.80, 104.80, 49.46 degrees
Closest atoms and distances in Å follow each position.
Sites, in units of the cell vectors:
Hf  0.0000  0.0000  0.0000  10 H 2.16-2.36
Ag  0.5000  0.5000  0.5000  6 H 2.28-2.50
H  0.1066  0.5748  0.1610  1 Ir 1.64
H  0.1998  0.1998  0.3687  1 Ir 1.77
H  0.4138  0.4138  0.8881  1 H 1.69, 1 Ir 1.71
H  0.4252  0.8934  0.8390  1 Ir 1.64
H  0.5748  0.1066  0.1610  1 Ir 1.64
H  0.5862  0.5862  0.1119  1 H 1.69, 1 Ir 1.71
H  0.8002  0.8002  0.6313  1 Ir 1.77
H  0.8934  0.4252  0.8390  1 Ir 1.64
Ir  0.2305  0.2305  0.6809  4 H 1.64-1.77
Ir  0.7695  0.7695  0.3191  4 H 1.64-1.77

Values from the calculation:
SG   C2/m, No. 12

What total magnetic moment values result from the calculations? In sequence: 0.000; 0.000; 0.000; 1.284; 0.000 μB/f.u..
What uncorrected energy values result from the calculations? In sequence: -12.07; -24.62; -35.05; -12.03; -56.53 eV for the cell shown.